No. 1
Density functional theory data (GGA-PBE) for a geometry-optimized AcPr4Hg2 structure.

Calculated values
SG = No. 1
crystal system = triclinic
energy of formation from the pure elements = -0.19 eV/atom

a b c (Å): 6.905 8.579 9.180
angles (deg): 97.69 111.73 105.04
Positions (direct):
Ac 0.000 0.000 0.000
Ac 0.375 0.852 0.717
Pr 0.111 0.601 0.913
Pr 0.232 0.269 0.759
Pr 0.267 0.410 0.312
Pr 0.278 0.806 0.298
Pr 0.627 0.102 0.181
Pr 0.641 0.214 0.575
Pr 0.703 0.611 0.138
Pr 0.781 0.804 0.549
Hg 0.069 0.053 0.405
Hg 0.599 0.563 0.745
Hg 0.775 0.295 0.953
Hg 0.940 0.488 0.476

No. 2
Density functional theory data (GGA-PBE) for a geometry-optimized Ac2Pr3Hg4 structure.

Calculated values
SG = No. 14
crystal system = monoclinic
energy of formation from the pure elements = -0.40 eV/atom

a b c (Å): 9.241 8.091 8.373
angles (deg): 90.00 110.37 90.00
Positions (direct):
Ac 0.191 0.174 0.061
Ac 0.191 0.326 0.561
Ac 0.809 0.674 0.439
Ac 0.809 0.826 0.939
Pr 0.241 0.660 0.232
Pr 0.241 0.840 0.732
Pr 0.500 0.000 0.500
Pr 0.500 0.500 0.000
Pr 0.759 0.160 0.268
Pr 0.759 0.340 0.768
Hg 0.072 0.544 0.844
Hg 0.072 0.956 0.344
Hg 0.500 0.129 0.869
Hg 0.500 0.371 0.369
Hg 0.500 0.629 0.631
Hg 0.500 0.871 0.131
Hg 0.928 0.044 0.656
Hg 0.928 0.456 0.156

No. 3
Density functional theory data (GGA-PBE) for a geometry-optimized Ac5PrHg6 structure.

Calculated values
SG = No. 65
crystal system = orthorhombic
energy of formation from the pure elements = -0.47 eV/atom

a b c (Å): 8.984 8.984 8.043
angles (deg): 90.00 90.00 143.20
Positions (direct):
Ac 0.000 0.000 0.000
Ac 0.332 0.668 0.000
Ac 0.334 0.666 0.500
Ac 0.666 0.334 0.500
Ac 0.668 0.332 0.000
Pr 0.000 0.000 0.500
Hg 0.163 0.837 0.254
Hg 0.163 0.837 0.746
Hg 0.500 0.500 0.257
Hg 0.500 0.500 0.743
Hg 0.837 0.163 0.254
Hg 0.837 0.163 0.746